Here is a relaxed LaSm3Er8 crystal from Alexandria via LeMat-Bulk. Energies are from GGA-PBE.

formation energy: 647.8 meV/atom
E_tot: -0.14643 hartree per atom

Cell: 8.3397 8.3397 8.3397 Å, 117.20 117.20 94.93°
Fractional coordinates of all 12 atoms:
1 La 0.0000 0.0000 0.0000
2 Sm 0.2500 0.7500 0.5000
3 Sm 0.5000 0.5000 0.0000
4 Sm 0.7500 0.2500 0.5000
5 Er 0.1280 0.1280 0.7487
6 Er 0.2460 0.7394 0.0000
7 Er 0.2606 0.2606 0.5065
8 Er 0.3793 0.3793 0.2513
9 Er 0.6207 0.8720 0.0000
10 Er 0.7394 0.2460 0.0000
11 Er 0.7540 0.7540 0.4935
12 Er 0.8720 0.6207 0.0000



Here is a relaxed SiMo2IrBr crystal from Alexandria via LeMat-Bulk. Energies are from GGA-PBE.

E_tot: -0.20248 hartree per atom

Cell: 4.5572 4.5572 4.6429 Å, 90.00 90.00 90.00°
Fractional coordinates of all 5 atoms:
1 Si 0.0000 0.0000 0.0000
2 Mo 0.0000 0.5000 0.5000
3 Mo 0.5000 0.0000 0.5000
4 Ir 0.5000 0.5000 0.0000
5 Br 0.0000 0.0000 0.5000



Here is a relaxed PbBr crystal from Alexandria via LeMat-Bulk. Energies are from GGA-PBE.

E_tot: -0.09896 hartree per atom

Cell: 8.9276 8.9276 8.9276 Å, 90.00 90.00 90.00°
Fractional coordinates of all 12 atoms:
1 Pb 0.0000 0.2500 0.5000
2 Pb 0.0000 0.7500 0.5000
3 Pb 0.2500 0.5000 0.0000
4 Pb 0.5000 0.0000 0.2500
5 Pb 0.5000 0.0000 0.7500
6 Pb 0.7500 0.5000 0.0000
7 Br 0.0000 0.5000 0.2500
8 Br 0.0000 0.5000 0.7500
9 Br 0.2500 0.0000 0.5000
10 Br 0.5000 0.2500 0.0000
11 Br 0.5000 0.7500 0.0000
12 Br 0.7500 0.0000 0.5000



Here is a relaxed K2SrZnBr crystal from Alexandria via LeMat-Bulk. Energies are from GGA-PBE.

E_tot: -0.05362 hartree per atom

Cell: 6.3741 6.3741 6.4738 Å, 90.00 90.00 90.00°
Fractional coordinates of all 5 atoms:
1 K 0.0000 0.5000 0.0000
2 K 0.5000 0.0000 0.0000
3 Sr 0.0000 0.0000 0.5000
4 Zn 0.5000 0.5000 0.0000
5 Br 0.5000 0.5000 0.5000



Here is a relaxed Nd3Dy2TmAs6 crystal from Alexandria via LeMat-Bulk. Energies are from GGA-PBE.

formation energy: -1511.4 meV/atom
E_tot: -0.22666 hartree per atom

Cell: 7.2547 7.2547 7.2482 Å, 99.59 99.59 119.99°
Fractional coordinates of all 12 atoms:
1 Nd 0.0000 0.0000 0.0000
2 Nd 0.3329 0.6671 0.0000
3 Nd 0.6671 0.3329 0.0000
4 Dy 0.1665 0.8335 0.5000
5 Dy 0.8335 0.1665 0.5000
6 Tm 0.5000 0.5000 0.5000
7 As 0.0888 0.4203 0.2607
8 As 0.2485 0.2485 0.7398
9 As 0.4203 0.0888 0.2607
10 As 0.5797 0.9112 0.7393
11 As 0.7515 0.7515 0.2602
12 As 0.9112 0.5797 0.7393



Here is a relaxed LiCa2Pr3S6 crystal from Alexandria via LeMat-Bulk. Energies are from GGA-PBE.

E_tot: -0.20999 hartree per atom

Cell: 6.9933 6.9933 7.0440 Å, 99.52 99.52 120.00°
Fractional coordinates of all 12 atoms:
1 Li 0.0000 0.0000 0.0000
2 Ca 0.3334 0.6666 0.0000
3 Ca 0.6666 0.3334 0.0000
4 Pr 0.1663 0.8337 0.5000
5 Pr 0.5000 0.5000 0.5000
6 Pr 0.8337 0.1663 0.5000
7 S 0.0804 0.4105 0.2414
8 S 0.2497 0.2497 0.7590
9 S 0.4105 0.0804 0.2414
10 S 0.5895 0.9196 0.7586
11 S 0.7503 0.7503 0.2410
12 S 0.9196 0.5895 0.7586



Here is a relaxed Cs2BTeI6 crystal from Alexandria via LeMat-Bulk. Energies are from GGA-PBE.

E_tot: -0.09116 hartree per atom

Cell: 8.4683 8.4683 8.4683 Å, 115.50 115.50 97.98°
Fractional coordinates of all 10 atoms:
1 Cs 0.2500 0.7500 0.5000
2 Cs 0.7500 0.2500 0.5000
3 B 0.0000 0.0000 0.0000
4 Te 0.5000 0.5000 0.0000
5 I 0.1908 0.1908 0.0000
6 I 0.2606 0.2606 0.5211
7 I 0.2606 0.7394 0.0000
8 I 0.7394 0.2606 0.0000
9 I 0.7394 0.7394 0.4789
10 I 0.8092 0.8092 0.0000



Here is a relaxed Cs3Mg2F9 crystal from Alexandria via LeMat-Bulk. Energies are from GGA-PBE.

E_tot: -0.15749 hartree per atom

Cell: 6.1342 6.1342 8.1335 Å, 90.00 90.00 120.00°
Fractional coordinates of all 14 atoms:
1 Cs 0.0000 0.0000 0.0000
2 Cs 0.3333 0.6667 0.3633
3 Cs 0.6667 0.3333 0.6367
4 Mg 0.3333 0.6667 0.8758
5 Mg 0.6667 0.3333 0.1242
6 F 0.0000 0.5000 0.0000
7 F 0.1906 0.3813 0.7132
8 F 0.1906 0.8094 0.7132
9 F 0.3813 0.1906 0.2868
10 F 0.5000 0.0000 0.0000
11 F 0.5000 0.5000 0.0000
12 F 0.6187 0.8094 0.7132
13 F 0.8094 0.1906 0.2868
14 F 0.8094 0.6187 0.2868



Here is a relaxed La2PrIr crystal from Alexandria via LeMat-Bulk. Energies are from GGA-PBE.

formation energy: -466.9 meV/atom
relative energy among the computed polymorphs: 0 meV per atom
E_tot: -0.23302 hartree per atom

Cell: 7.4452 10.1483 6.5811 Å, 90.00 90.00 90.00°
Fractional coordinates of all 16 atoms:
1 La 0.1714 0.0678 0.1716
2 La 0.1714 0.4322 0.1716
3 La 0.3286 0.5678 0.6716
4 La 0.3286 0.9322 0.6716
5 La 0.6714 0.0678 0.3284
6 La 0.6714 0.4322 0.3284
7 La 0.8286 0.5678 0.8284
8 La 0.8286 0.9322 0.8284
9 Pr 0.0357 0.2500 0.6488
10 Pr 0.4643 0.7500 0.1488
11 Pr 0.5357 0.2500 0.8512
12 Pr 0.9643 0.7500 0.3512
13 Ir 0.1210 0.7500 0.9240
14 Ir 0.3790 0.2500 0.4240
15 Ir 0.6210 0.7500 0.5760
16 Ir 0.8790 0.2500 0.0760



Here is a relaxed Sm6Fe13Sn crystal from Alexandria via LeMat-Bulk. Energies are from GGA-PBE.

formation energy: -112.2 meV/atom
E_tot: -0.26565 hartree per atom

Cell: 12.8879 12.8879 12.8879 Å, 143.77 143.77 52.16°
Fractional coordinates of all 40 atoms:
1 Sm 0.0210 0.5210 0.1719
2 Sm 0.1046 0.1046 0.0000
3 Sm 0.1509 0.9790 0.5000
4 Sm 0.3491 0.8491 0.8281
5 Sm 0.3954 0.3954 0.0000
6 Sm 0.4790 0.6509 0.5000
7 Sm 0.5210 0.3491 0.5000
8 Sm 0.6046 0.6046 0.0000
9 Sm 0.6509 0.1509 0.1719
10 Sm 0.8491 0.0210 0.5000
11 Sm 0.8954 0.8954 0.0000
12 Sm 0.9790 0.4790 0.8281
13 Fe 0.0000 0.5000 0.5000
14 Fe 0.0189 0.2911 0.5000
15 Fe 0.0665 0.2092 0.2757
16 Fe 0.1194 0.6194 0.8580
17 Fe 0.2089 0.4811 0.5000
18 Fe 0.2092 0.9335 0.1427
19 Fe 0.2385 0.7385 0.8580
20 Fe 0.2615 0.1194 0.5000
21 Fe 0.2908 0.4335 0.7243
22 Fe 0.2911 0.7911 0.2722
23 Fe 0.3806 0.2385 0.5000
24 Fe 0.4335 0.7092 0.1427
25 Fe 0.4811 0.9811 0.2722
26 Fe 0.5000 0.0000 0.5000
27 Fe 0.5189 0.0189 0.7278
28 Fe 0.5665 0.2908 0.8573
29 Fe 0.6194 0.7615 0.5000
30 Fe 0.7089 0.2089 0.7278
31 Fe 0.7092 0.5665 0.2757
32 Fe 0.7385 0.8806 0.5000
33 Fe 0.7615 0.2615 0.1420
34 Fe 0.7908 0.0665 0.8573
35 Fe 0.7911 0.5189 0.5000
36 Fe 0.8806 0.3806 0.1420
37 Fe 0.9335 0.7908 0.7243
38 Fe 0.9811 0.7089 0.5000
39 Sn 0.2500 0.2500 0.0000
40 Sn 0.7500 0.7500 0.0000



Here is a relaxed Cu2TeW crystal from Alexandria via LeMat-Bulk. Energies are from GGA-PBE.

E_tot: -0.19997 hartree per atom

Cell: 2.8889 3.8823 5.9416 Å, 90.00 92.15 90.00°
Fractional coordinates of all 4 atoms:
1 Cu 0.0255 0.0000 0.2106
2 Cu 0.9745 0.0000 0.7894
3 Te 0.5000 0.5000 0.5000
4 W 0.5000 0.5000 0.0000



Here is a relaxed Li2ReBr crystal from Alexandria via LeMat-Bulk. Energies are from GGA-PBE.

relative energy among the computed polymorphs: 500 meV per atom
E_tot: -0.14270 hartree per atom

Cell: 2.9560 4.4722 4.7644 Å, 90.00 90.00 90.00°
Fractional coordinates of all 4 atoms:
1 Li 0.0000 0.0000 0.0000
2 Li 0.5000 0.0000 0.5000
3 Re 0.0000 0.5000 0.5000
4 Br 0.5000 0.5000 0.0000